Tb2TmZn2Ga2: optimized geometry, PBE.

It has space group R-3m (No. 166, hexagonal axes), with a = 4.4237 Å, b = 4.4237 Å, c = 27.4629 Å, α = 90.00°, β = 90.00° and γ = 120.00°. Symmetry generates all atoms from Tb at (0.0000, 0.0000, 0.1255), Tm at (0.0000, 0.0000, 0.0000), Zn at (0.0000, 0.0000, 0.3941) and Ga at (0.0000, 0.0000, 0.2661).

---

TbU4Ga15: optimized geometry, PBE.

It has space group P4/mmm (No. 123), with a = 4.259 Å, b = 4.259 Å, c = 21.436 Å, α = 90.00°, β = 90.00° and γ = 90.00°. Symmetry generates all atoms from Tb at (0.000, 0.000, 0.000), U at (0.000, 0.000, 0.200), U at (0.000, 0.000, 0.400), Ga at (0.000, 0.500, 0.101), Ga at (0.000, 0.500, 0.300), Ga at (0.000, 0.500, 0.500), Ga at (0.500, 0.500, 0.000), Ga at (0.500, 0.500, 0.201) and Ga at (0.500, 0.500, 0.400).

---

TbUGa4: optimized geometry, PBE.

It has space group F-43m (No. 216), with a = 7.813 Å, b = 7.813 Å, c = 7.813 Å, α = 90.00°, β = 90.00° and γ = 90.00°. Symmetry generates all atoms from Tb at (0.000, 0.000, 0.000), U at (0.250, 0.250, 0.750) and Ga at (0.125, 0.125, 0.375).

---

TbUGa6: optimized geometry, PBE.

It has space group P4/mmm (No. 123), with a = 4.264 Å, b = 4.264 Å, c = 8.568 Å, α = 90.00°, β = 90.00° and γ = 90.00°. Symmetry generates all atoms from Tb at (0.000, 0.000, 0.000), U at (0.000, 0.000, 0.500), Ga at (0.000, 0.500, 0.252), Ga at (0.500, 0.500, 0.000) and Ga at (0.500, 0.500, 0.500).

---

Tb2UGa9: optimized geometry, PBE.

It has space group P4/mmm (No. 123), with a = 4.262 Å, b = 4.262 Å, c = 12.885 Å, α = 90.00°, β = 90.00° and γ = 90.00°. Symmetry generates all atoms from Tb at (0.000, 0.000, 0.167), U at (0.000, 0.000, 0.500), Ga at (0.000, 0.500, 0.000), Ga at (0.000, 0.500, 0.335), Ga at (0.500, 0.500, 0.167) and Ga at (0.500, 0.500, 0.500).

---

TbUGa2: optimized geometry, PBE.

It has space group R-3m (No. 166, hexagonal axes), with a = 3.1714 Å, b = 3.1714 Å, c = 30.2030 Å, α = 90.00°, β = 90.00° and γ = 120.00°. Symmetry generates all atoms from Tb at (0.0000, 0.0000, 0.0000), U at (0.0000, 0.0000, 0.5000) and Ga at (0.0000, 0.0000, 0.2499).

---

Tb2VGa5: optimized geometry, PBE.

It has space group I4mm (No. 107), with a = 6.388 Å, b = 6.388 Å, c = 7.580 Å, α = 90.00°, β = 90.00° and γ = 90.00°. Symmetry generates all atoms from Tb at (0.000, 0.500, 0.000), V at (0.000, 0.000, 0.373), Ga at (0.000, 0.000, 0.029) and Ga at (0.210, 0.210, 0.747).

---

TbVGa4: optimized geometry, PBE.

It has space group F-43m (No. 216), with a = 7.464 Å, b = 7.464 Å, c = 7.464 Å, α = 90.00°, β = 90.00° and γ = 90.00°. Symmetry generates all atoms from Tb at (0.000, 0.000, 0.000), V at (0.250, 0.250, 0.750) and Ga at (0.124, 0.124, 0.376).

---

Tb3VGa12: optimized geometry, PBE.

It has space group P4/mmm (No. 123), with a = 4.236 Å, b = 4.236 Å, c = 16.585 Å, α = 90.00°, β = 90.00° and γ = 90.00°. Symmetry generates all atoms from Tb at (0.000, 0.000, 0.000), Tb at (0.000, 0.000, 0.263), V at (0.000, 0.000, 0.500), Ga at (0.000, 0.500, 0.130), Ga at (0.000, 0.500, 0.392), Ga at (0.500, 0.500, 0.000), Ga at (0.500, 0.500, 0.256) and Ga at (0.500, 0.500, 0.500).

---

Tb2GaW: optimized geometry, PBE.

It has space group R-3m (No. 166, hexagonal axes), with a = 3.1329 Å, b = 3.1329 Å, c = 32.2180 Å, α = 90.00°, β = 90.00° and γ = 120.00°. Symmetry generates all atoms from Tb at (0.0000, 0.0000, 0.0887), Ga at (0.0000, 0.0000, 0.5000) and W at (0.0000, 0.0000, 0.0000).

---

Tb3YGa4: optimized geometry, PBE.

It has space group R-3m (No. 166, hexagonal axes), with a = 5.0630 Å, b = 5.0630 Å, c = 24.8686 Å, α = 90.00°, β = 90.00° and γ = 120.00°. Symmetry generates all atoms from Tb at (0.0000, 0.0000, 0.0000), Tb at (0.0000, 0.0000, 0.2499), Y at (0.0000, 0.0000, 0.5000), Ga at (0.0000, 0.0000, 0.1251) and Ga at (0.0000, 0.0000, 0.3750).

---

Tb3YGa2: optimized geometry, PBE.

It has space group C2/m (No. 12), with a = 16.206 Å, b = 5.036 Å, c = 8.916 Å, α = 90.00°, β = 118.16° and γ = 90.00°. Symmetry generates all atoms from Tb at (0.062, 0.000, 0.217), Tb at (0.123, 0.500, 0.011), Tb at (0.188, 0.500, 0.497), Y at (0.128, 0.000, 0.690), Ga at (0.013, 0.500, 0.649) and Ga at (0.228, 0.000, 0.114).

The energy relative to the lowest polymorph listed for this composition comes out at 0.601 eV/f.u.

---

What did we get for DFT formation energy? Answer: -2.76; -6.01; -1.62; -3.14; -5.32; -0.23; -2.92; -1.17; -6.58; 2.40; -4.71; -1.98 eV per formula unit, in the order shown.